A plane-wave DFT calculation with GGA-PBE was carried out for a relaxed Tl2CuAgTe2 crystal.

Structure (POSCAR):
```
Tl2CuAgTe2
1.0
-3.262 8.145 3.259
3.262 -8.145 3.259
3.262 8.145 -3.259
Tl Cu Ag Te
4 2 2 4
Direct
0.167 0.231 0.397
0.333 0.731 0.064
0.667 0.269 0.936
0.833 0.769 0.603
0.250 0.750 0.500
0.750 0.250 0.500
0.250 0.250 0.000
0.750 0.750 0.000
0.100 0.722 0.821
0.400 0.222 0.622
0.600 0.778 0.378
0.900 0.278 0.179
```

Properties
The space group is Ibam. For the formation energy from raw total energies, the calculation gives -168.4 meV/atom.

=====

A plane-wave DFT calculation with GGA-PBE was carried out for a relaxed BaHgGe crystal.

Structure (POSCAR):
```
BaHgGe
1.0
4.248 0.000 0.000
0.000 4.781 0.000
2.119 0.008 9.875
Ba Hg Ge
2 2 2
Direct
0.000 0.000 0.000
0.304 0.999 0.393
0.153 0.484 0.696
0.653 0.977 0.697
0.440 0.500 0.121
0.864 0.500 0.272
```

Properties
As for the formation energy: -419 meV/atom. The space group is P1.

=====

A plane-wave DFT calculation with GGA-PBE was carried out for a relaxed YScMoPb2 crystal.

Structure (POSCAR):
```
YScMoPb2
1.0
5.406 0.000 0.000
0.000 5.406 0.000
0.000 0.000 5.198
Y Sc Mo Pb
1 1 1 2
Direct
0.000 0.000 0.000
0.500 0.500 0.000
0.000 0.000 0.500
0.000 0.500 0.500
0.500 0.000 0.500
```

Properties
As for the formation energy: 543 meV/atom. The space group is P4/mmm.

=====

A plane-wave DFT calculation with GGA-PBE was carried out for a relaxed LaYNi crystal.

Structure (POSCAR):
```
LaYNi
1.0
3.889 -3.197 0.000
3.889 3.197 0.000
-2.636 0.000 6.356
La Y Ni
2 2 2
Direct
0.000 0.500 0.000
0.500 0.000 0.000
0.161 0.161 0.410
0.839 0.839 0.590
0.490 0.490 0.317
0.510 0.510 0.683
```

Properties
As for the formation energy: -3 meV/atom. The space group is C2/m. As for the relative energy among the computed polymorphs: 223.7 meV per atom.

=====

A plane-wave DFT calculation with GGA-PBE was carried out for a relaxed TiCoH crystal.

Structure (POSCAR):
```
TiCoH
1.0
3.452 0.000 0.000
-1.726 2.989 0.000
0.000 0.000 2.913
Ti Co H
1 1 1
Direct
0.000 0.000 0.000
0.667 0.333 0.500
0.333 0.667 0.500
```

Properties
The space group is P-6m2. As for the relative energy among the computed polymorphs: 288.1 meV per atom.

=====

A plane-wave DFT calculation with GGA-PBE was carried out for a relaxed CePr4Tm3Se8 crystal.

Structure (POSCAR):
```
CePr4Tm3Se8
1.0
4.123 2.380 6.946
-4.123 2.380 6.946
0.000 -4.760 6.946
Ce Pr Tm Se
1 4 3 8
Direct
0.000 0.000 0.000
0.000 0.000 0.500
0.000 0.500 0.000
0.500 0.000 0.000
0.500 0.500 0.500
0.000 0.500 0.500
0.500 0.000 0.500
0.500 0.500 0.000
0.248 0.248 0.737
0.248 0.737 0.248
0.258 0.258 0.258
0.263 0.752 0.752
0.737 0.248 0.248
0.742 0.742 0.742
0.752 0.263 0.752
0.752 0.752 0.263
```

Properties
The space group is R-3m. For the formation energy from raw total energies, the calculation gives -1779.3 meV/atom.

=====

A plane-wave DFT calculation with GGA-PBE was carried out for a relaxed BeNbCu crystal.

Structure (POSCAR):
```
BeNbCu
1.0
3.866 0.000 0.000
1.923 4.479 0.000
1.930 -0.184 4.480
Be Nb Cu
2 2 2
Direct
0.000 0.000 0.000
0.498 0.846 0.155
0.309 0.434 0.946
0.809 0.790 0.590
0.130 0.188 0.550
0.630 0.395 0.343
```

Properties
As for the formation energy: 7 meV/atom. The space group is P1. As for the relative energy among the computed polymorphs: 89.0 meV per atom.

=====

A plane-wave DFT calculation with GGA-PBE was carried out for a relaxed La2Dy7Y crystal.

Structure (POSCAR):
```
La2Dy7Y
1.0
3.287 -14.493 0.000
3.287 14.493 0.000
0.000 0.000 3.524
La Dy Y
2 7 1
Direct
0.207 0.793 0.000
0.793 0.207 0.000
0.000 0.000 0.000
0.158 0.352 0.000
0.316 0.684 0.500
0.352 0.158 0.000
0.648 0.842 0.000
0.684 0.316 0.500
0.842 0.648 0.000
0.500 0.500 0.500
```

Properties
As for the formation energy: 154 meV/atom. The space group is Cmmm. As for the relative energy among the computed polymorphs: 128.3 meV per atom.

=====

A plane-wave DFT calculation with GGA-PBE was carried out for a relaxed NiOsCl2 crystal.

Structure (POSCAR):
```
NiOsCl2
1.0
2.898 -3.887 0.000
2.898 3.887 0.000
0.000 0.000 2.873
Ni Os Cl
1 1 2
Direct
0.000 0.000 0.000
0.500 0.500 0.000
0.000 0.500 0.000
0.500 0.000 0.000
```

Properties
The space group is Cmmm. As for the relative energy among the computed polymorphs: 600.6 meV per atom. For the formation energy from raw total energies, the calculation gives 806.8 meV/atom.

=====

A plane-wave DFT calculation with GGA-PBE was carried out for a relaxed HfTiOs2 crystal.

Structure (POSCAR):
```
HfTiOs2
1.0
-2.091 2.091 8.623
2.091 -2.091 8.623
2.091 2.091 -8.623
Hf Ti Os
2 2 4
Direct
0.000 0.000 0.000
0.750 0.250 0.500
0.250 0.750 0.500
0.500 0.500 0.000
0.195 0.625 0.070
0.375 0.445 0.570
0.555 0.125 0.930
0.875 0.805 0.430
```

Properties
As for the formation energy: 485 meV/atom. The space group is I-42d.

=====

A plane-wave DFT calculation with GGA-PBE was carried out for a relaxed CsGe3Ir crystal.

Structure (POSCAR):
```
CsGe3Ir
1.0
5.438 0.000 0.000
0.000 5.438 0.000
0.000 0.000 5.438
Cs Ge Ir
1 3 1
Direct
0.000 0.000 0.000
0.000 0.000 0.500
0.000 0.500 0.000
0.500 0.000 0.000
0.500 0.500 0.500
```

Properties
As for the formation energy: 2688 meV/atom. The space group is Pm-3m. As for the relative energy among the computed polymorphs: 2803.5 meV per atom.

=====

A plane-wave DFT calculation with GGA-PBE was carried out for a relaxed MnTc2Te crystal.

Structure (POSCAR):
```
MnTc2Te
1.0
4.539 0.000 0.000
0.000 3.063 0.000
-1.797 0.000 4.625
Mn Tc Te
1 2 1
Direct
0.000 0.000 0.000
0.500 0.000 0.500
0.500 0.500 0.000
0.000 0.500 0.500
```

Properties
The space group is P2/m. For the formation energy from raw total energies, the calculation gives 372.7 meV/atom.

=====

A plane-wave DFT calculation with GGA-PBE was carried out for a relaxed SrNbSe2N crystal.

Structure (POSCAR):
```
SrNbSe2N
1.0
5.499 0.000 0.000
0.000 5.499 0.000
0.000 0.000 4.204
Sr Nb Se N
1 1 2 1
Direct
0.000 0.000 0.000
0.500 0.500 0.500
0.000 0.500 0.000
0.500 0.000 0.000
0.000 0.000 0.500
```

Properties
The space group is P4/mmm. As for the relative energy among the computed polymorphs: 2241.2 meV per atom. For the formation energy from raw total energies, the calculation gives 1313.8 meV/atom.

=====

Number 1: uncorrected energy -37.95 eV per cell, calculated volume 28.86 A^3/atom. Number 2: uncorrected energy -16.20 eV per cell, calculated volume 33.42 A^3/atom. Number 3: uncorrected energy -28.33 eV per cell, calculated volume 30.38 A^3/atom. Number 4: uncorrected energy -34.37 eV per cell, calculated volume 26.34 A^3/atom. Number 5: uncorrected energy -18.49 eV per cell, calculated volume 10.02 A^3/atom. Number 6: uncorrected energy -94.81 eV per cell, calculated volume 25.56 A^3/atom. Number 7: uncorrected energy -35.74 eV per cell, calculated volume 12.93 A^3/atom. Number 8: uncorrected energy -46.99 eV per cell, calculated volume 33.57 A^3/atom. Number 9: uncorrected energy -17.48 eV per cell, calculated volume 16.18 A^3/atom. Number 10: uncorrected energy -76.74 eV per cell, calculated volume 18.85 A^3/atom. Number 11: uncorrected energy -10.12 eV per cell, calculated volume 32.15 A^3/atom. Number 12: uncorrected energy -31.55 eV per cell, calculated volume 16.08 A^3/atom. Number 13: uncorrected energy -20.48 eV per cell, calculated volume 25.43 A^3/atom.